Record 1
# MoAs2 PBE-GGA relaxed
# - ΔH_f (0 K): 0.603 eV/atom
# - Total magnetic moment: 0.000 Bohr magnetons per cell
# - Space group: P6_3/mmc (194)
# - Volume: 19.36 Å³/atom
data_MoAs2
_chemical_formula_sum 'Mo4 As8'
_space_group_name_H-M_alt 'P 1'
_space_group_IT_number 1
_cell_length_a 5.006
_cell_length_b 5.006
_cell_length_c 10.705
_cell_angle_alpha 90.00
_cell_angle_beta 90.00
_cell_angle_gamma 120.00
loop_
_space_group_symop_operation_xyz
'x,y,z'
loop_
_atom_site_label
_atom_site_type_symbol
_atom_site_fract_x
_atom_site_fract_y
_atom_site_fract_z
_atom_site_occupancy
Mo1 Mo 0.333 0.667 0.047 1
Mo2 Mo 0.333 0.667 0.453 1
Mo3 Mo 0.667 0.333 0.547 1
Mo4 Mo 0.667 0.333 0.953 1
As1 As 0.000 0.000 0.000 1
As2 As 0.000 0.000 0.500 1
As3 As 0.164 0.329 0.250 1
As4 As 0.164 0.836 0.250 1
As5 As 0.329 0.164 0.750 1
As6 As 0.671 0.836 0.250 1
As7 As 0.836 0.164 0.750 1
As8 As 0.836 0.671 0.750 1


Record 2
# CaYCdAg PBE-GGA relaxed
# - ΔH_f (0 K): -0.330 eV/atom
# - Total magnetic moment: 0.000 Bohr magnetons per cell
# - Space group: P4mm (99)
# - Energy above the lowest structure with this stoichiometry: 0.000 eV per atom
# - Volume: 26.04 Å³/atom
data_CaYCdAg
_chemical_formula_sum 'Ca1 Y1 Cd1 Ag1'
_space_group_name_H-M_alt 'P 1'
_space_group_IT_number 1
_cell_length_a 3.714
_cell_length_b 3.714
_cell_length_c 7.553
_cell_angle_alpha 90.00
_cell_angle_beta 90.00
_cell_angle_gamma 90.00
loop_
_space_group_symop_operation_xyz
'x,y,z'
loop_
_atom_site_label
_atom_site_type_symbol
_atom_site_fract_x
_atom_site_fract_y
_atom_site_fract_z
_atom_site_occupancy
Ca1 Ca 0.000 0.000 0.000 1
Y1 Y 0.000 0.000 0.480 1
Cd1 Cd 0.500 0.500 0.729 1
Ag1 Ag 0.500 0.500 0.257 1


Record 3
# ZrNbReOs PBE-GGA relaxed
# - ΔH_f (0 K): -0.332 eV/atom
# - Total magnetic moment: 0.000 Bohr magnetons per cell
# - Space group: F-43m (216)
# - Energy above the lowest structure with this stoichiometry: 0.000 eV per atom
# - Volume: 17.05 Å³/atom
data_ZrNbReOs
_chemical_formula_sum 'Zr4 Nb4 Re4 Os4'
_space_group_name_H-M_alt 'P 1'
_space_group_IT_number 1
_cell_length_a 6.485
_cell_length_b 6.485
_cell_length_c 6.485
_cell_angle_alpha 90.00
_cell_angle_beta 90.00
_cell_angle_gamma 90.00
loop_
_space_group_symop_operation_xyz
'x,y,z'
loop_
_atom_site_label
_atom_site_type_symbol
_atom_site_fract_x
_atom_site_fract_y
_atom_site_fract_z
_atom_site_occupancy
Zr1 Zr 0.000 0.000 0.000 1
Zr2 Zr 0.000 0.500 0.500 1
Zr3 Zr 0.500 0.000 0.500 1
Zr4 Zr 0.500 0.500 0.000 1
Nb1 Nb 0.000 0.000 0.500 1
Nb2 Nb 0.000 0.500 0.000 1
Nb3 Nb 0.500 0.000 0.000 1
Nb4 Nb 0.500 0.500 0.500 1
Re1 Re 0.250 0.250 0.250 1
Re2 Re 0.250 0.750 0.750 1
Re3 Re 0.750 0.250 0.750 1
Re4 Re 0.750 0.750 0.250 1
Os1 Os 0.250 0.250 0.750 1
Os2 Os 0.250 0.750 0.250 1
Os3 Os 0.750 0.250 0.250 1
Os4 Os 0.750 0.750 0.750 1


- Look up the volume of the first one.
  19.36 Å³/atom